a:
DFT (PBE) results for a geometry-optimized TiRuSe2N structure.

Geometry as POSCAR:
```
TiRuSe2N
1.0
5.0252 0.0000 0.0000
0.0000 5.0252 0.0000
0.0000 0.0000 3.6380
Ti Ru Se N
1 1 2 1
Direct
0.0000 0.0000 0.0000
0.5000 0.5000 0.5000
0.0000 0.5000 0.5000
0.5000 0.0000 0.5000
0.5000 0.5000 0.0000
```

---

b:
DFT (PBE) results for a geometry-optimized TiRuSe2N structure.

Geometry as POSCAR:
```
TiRuSe2N
1.0
5.0261 0.0000 0.0000
0.0000 5.0261 0.0000
0.0000 0.0000 3.6672
Ti Ru Se N
1 1 2 1
Direct
0.0000 0.0000 0.0000
0.5000 0.5000 0.5000
0.0000 0.5000 0.0000
0.5000 0.0000 0.0000
0.0000 0.0000 0.5000
```

---

Of them, the most stable is a and the least stable is b.

---

a:
DFT (PBE) results for a geometry-optimized RuWSeN2 structure.

Geometry as POSCAR:
```
RuWSeN2
1.0
3.8801 0.0000 0.0000
0.0000 3.8801 0.0000
0.0000 0.0000 5.3085
Ru W Se N
1 1 1 2
Direct
0.0000 0.0000 0.0000
0.5000 0.5000 0.5000
0.5000 0.5000 0.0000
0.0000 0.5000 0.5000
0.5000 0.0000 0.5000
```

---

b:
DFT (PBE) results for a geometry-optimized RuWSeN2 structure.

Geometry as POSCAR:
```
RuWSeN2
1.0
3.8122 0.0000 0.0000
0.0000 3.8122 0.0000
0.0000 0.0000 5.3078
Ru W Se N
1 1 1 2
Direct
0.0000 0.0000 0.0000
0.5000 0.5000 0.5000
0.0000 0.0000 0.5000
0.0000 0.5000 0.0000
0.5000 0.0000 0.0000
```

---

Of them, the most stable is a and the least stable is b.

---

a:
DFT (PBE) results for a geometry-optimized YRuSeN2 structure.

Geometry as POSCAR:
```
YRuSeN2
1.0
4.3196 0.0000 0.0000
0.0000 4.3196 0.0000
0.0000 0.0000 5.7544
Y Ru Se N
1 1 1 2
Direct
0.0000 0.0000 0.0000
0.5000 0.5000 0.5000
0.0000 0.0000 0.5000
0.0000 0.5000 0.0000
0.5000 0.0000 0.0000
```

---

b:
DFT (PBE) results for a geometry-optimized YRuSeN2 structure.

Geometry as POSCAR:
```
YRuSeN2
1.0
3.9362 0.0000 0.0000
0.0000 3.9362 0.0000
0.0000 0.0000 5.0976
Y Ru Se N
1 1 1 2
Direct
0.0000 0.0000 0.0000
0.5000 0.5000 0.5000
0.5000 0.5000 0.0000
0.0000 0.5000 0.5000
0.5000 0.0000 0.5000
```

---

Of them, the most stable is b and the least stable is a.

---

a:
DFT (PBE) results for a geometry-optimized ZnRuSeN2 structure.

Geometry as POSCAR:
```
ZnRuSeN2
1.0
3.8130 0.0000 0.0000
0.0000 3.8130 0.0000
0.0000 0.0000 5.3011
Zn Ru Se N
1 1 1 2
Direct
0.0000 0.0000 0.0000
0.5000 0.5000 0.5000
0.0000 0.0000 0.5000
0.0000 0.5000 0.0000
0.5000 0.0000 0.0000
```

---

b:
DFT (PBE) results for a geometry-optimized ZnRuSeN2 structure.

Geometry as POSCAR:
```
ZnRuSeN2
1.0
3.8503 0.0000 0.0000
0.0000 3.8503 0.0000
0.0000 0.0000 4.8137
Zn Ru Se N
1 1 1 2
Direct
0.0000 0.0000 0.0000
0.5000 0.5000 0.0000
0.5000 0.5000 0.5000
0.0000 0.5000 0.5000
0.5000 0.0000 0.5000
```

---

c:
DFT (PBE) results for a geometry-optimized ZnRuSeN2 structure.

Geometry as POSCAR:
```
ZnRuSeN2
1.0
3.7762 0.0000 0.0000
0.0000 3.7762 0.0000
0.0000 0.0000 5.5036
Zn Ru Se N
1 1 1 2
Direct
0.0000 0.0000 0.0000
0.5000 0.5000 0.5000
0.5000 0.5000 0.0000
0.0000 0.5000 0.5000
0.5000 0.0000 0.5000
```

---

Of them, the most stable is c and the least stable is a.